Density functional theory data (GGA-PBE) for a relaxed structure of AlTlCd.

abc: 3.1576 6.4190 7.6544
angles: 107.02 98.03 80.80
Closest atoms and distances in Å follow each position.
Positions (direct):
1 Tl 0.2063 0.8147 0.6781  3 Al 3.08-3.35, 2 Cd 3.15-3.35, 2 Tl 3.16
2 Tl 0.5344 0.2175 0.4904  1 Al 3.02, 2 Tl 3.16, 2 Cd 3.23-3.36
3 Al 0.8054 0.4925 0.8708  2 Al 2.75-2.76, 2 Cd 2.93-3.05, 1 Tl 3.02
4 Al 0.4373 0.2108 0.9992  2 Al 2.75-2.76, 3 Cd 2.88-3.01, 1 Tl 3.08
5 Cd 0.8463 0.5546 0.2834  3 Al 2.93-3.18, 4 Cd 3.04-3.23, 1 Tl 3.15
6 Cd 0.1244 0.8875 0.1243  3 Al 2.88-3.01, 3 Cd 3.04-3.16

As for the total magnetization: 0.00 μB per cell. The symmetry is P1. The formation energy from the elements comes out at 0.16 eV/atom. For the electronic total energy, the calculation gives -2.1832 eV/atom. Its crystal system is triclinic.



Density functional theory data (GGA-PBE) for a relaxed structure of Pm2Zn4CuAu3.

abc: 4.1208 4.1208 11.7026
angles: 90.00 90.00 90.00
Closest atoms and distances in Å follow each position.
Positions (direct):
1 Pm 0.5000 0.0000 0.2583  4 Zn 3.19, 6 Au 3.19-3.50, 2 Cu 3.50
2 Pm 0.0000 0.5000 0.7417  4 Zn 3.19, 6 Au 3.19-3.50, 2 Cu 3.50
3 Zn 0.5000 0.5000 0.0000  4 Au 2.69, 4 Zn 2.91
4 Zn 0.0000 0.0000 0.0000  4 Au 2.69, 4 Zn 2.91
5 Zn 0.5000 0.0000 0.6317  2 Cu 2.57, 3 Au 2.57-2.59
6 Zn 0.0000 0.5000 0.3683  2 Cu 2.57, 3 Au 2.57-2.59
7 Cu 0.5000 0.5000 0.5000  4 Zn 2.57
8 Au 0.0000 0.0000 0.5000  4 Zn 2.57
9 Au 0.5000 0.0000 0.8527  5 Zn 2.59-2.69
10 Au 0.0000 0.5000 0.1473  5 Zn 2.59-2.69

As for the total magnetization: 0.00 μB per cell. The symmetry is P-4m2. The formation energy from the elements comes out at -0.45 eV/atom. For the electronic total energy, the calculation gives -3.3024 eV/atom. Its crystal system is tetragonal.